No. 1
! Pr12Sn3C5 (PBE, relaxed); values from VASP
&SYSTEM
  ibrav = 0, nat = 80, ntyp = 3
/
ATOMIC_SPECIES
Pr 140.91 Pr.upf
C 12.01 C.upf
Sn 118.71 Sn.upf
CELL_PARAMETERS angstrom
14.429 0.000 0.000
-4.810 13.604 0.000
-4.810 -6.802 11.781
ATOMIC_POSITIONS crystal
Pr 0.702 0.115 0.020
Pr 0.318 0.520 0.405
Pr 0.980 0.385 0.298
Pr 0.520 0.202 0.115
Pr 0.587 0.702 0.682
Pr 0.980 0.595 0.182
Pr 0.318 0.798 0.413
Pr 0.095 0.913 0.115
Pr 0.595 0.980 0.682
Pr 0.702 0.587 0.182
Pr 0.798 0.480 0.385
Pr 0.818 0.905 0.020
Pr 0.115 0.702 0.520
Pr 0.385 0.405 0.087
Pr 0.087 0.905 0.385
Pr 0.413 0.115 0.595
Pr 0.087 0.182 0.202
Pr 0.480 0.682 0.095
Pr 0.818 0.913 0.298
Pr 0.115 0.413 0.095
Pr 0.385 0.980 0.798
Pr 0.595 0.615 0.413
Pr 0.905 0.818 0.520
Pr 0.798 0.318 0.913
Pr 0.405 0.385 0.587
Pr 0.095 0.182 0.480
Pr 0.202 0.682 0.087
Pr 0.182 0.087 0.702
Pr 0.615 0.020 0.202
Pr 0.885 0.587 0.905
Pr 0.520 0.318 0.905
Pr 0.587 0.885 0.405
Pr 0.913 0.818 0.798
Pr 0.913 0.095 0.615
Pr 0.885 0.298 0.480
Pr 0.182 0.095 0.980
Pr 0.615 0.595 0.913
Pr 0.405 0.020 0.318
Pr 0.298 0.413 0.818
Pr 0.202 0.520 0.615
Pr 0.905 0.087 0.885
Pr 0.682 0.202 0.587
Pr 0.480 0.798 0.885
Pr 0.020 0.405 0.818
Pr 0.413 0.298 0.318
Pr 0.020 0.615 0.702
Pr 0.682 0.480 0.595
Pr 0.298 0.885 0.980
C 0.125 0.375 0.250
C 0.000 0.500 0.000
C 0.000 0.000 0.000
C 0.375 0.250 0.125
C 0.500 0.000 0.500
C 0.500 0.500 0.000
C 0.125 0.750 0.375
C 0.750 0.125 0.875
C 0.750 0.625 0.375
C 0.375 0.125 0.750
C 0.625 0.875 0.250
C 0.500 0.500 0.500
C 0.500 0.000 0.000
C 0.000 0.000 0.500
C 0.250 0.375 0.625
C 0.250 0.875 0.125
C 0.000 0.500 0.500
C 0.875 0.250 0.625
C 0.625 0.750 0.875
C 0.875 0.625 0.750
Sn 0.750 0.375 0.125
Sn 0.875 0.750 0.125
Sn 0.375 0.750 0.625
Sn 0.250 0.125 0.375
Sn 0.875 0.125 0.250
Sn 0.375 0.625 0.250
Sn 0.625 0.375 0.750
Sn 0.125 0.875 0.750
Sn 0.750 0.875 0.625
Sn 0.625 0.250 0.375
Sn 0.125 0.250 0.875
Sn 0.250 0.625 0.875
! Calculated formation energy ... -159.8 meV/atom

---

No. 2
! Pm2DyMg6 (PBE, relaxed); values from VASP
&SYSTEM
  ibrav = 0, nat = 9, ntyp = 3
/
ATOMIC_SPECIES
Pm 145.00 Pm.upf
Dy 162.50 Dy.upf
Mg 24.30 Mg.upf
CELL_PARAMETERS angstrom
-1.100 -0.051 3.129
-5.423 -7.084 -2.022
3.102 -8.553 0.951
ATOMIC_POSITIONS crystal
Pm 0.000 0.333 0.333
Pm 0.000 0.667 0.667
Dy 0.000 0.000 0.000
Mg 0.499 0.669 0.000
Mg 0.501 0.000 0.331
Mg 0.501 0.331 0.000
Mg 0.500 0.669 0.331
Mg 0.499 0.000 0.669
Mg 0.500 0.331 0.669
! Calculated formation energy ... -88.8 meV/atom

---

No. 3
! AcTbHo3 (PBE, relaxed); values from VASP
&SYSTEM
  ibrav = 0, nat = 10, ntyp = 3
/
ATOMIC_SPECIES
Ac 227.00 Ac.upf
Tb 158.93 Tb.upf
Ho 164.93 Ho.upf
CELL_PARAMETERS angstrom
4.898 0.001 0.000
-2.448 9.614 2.365
0.000 2.606 8.170
ATOMIC_POSITIONS crystal
Ac 0.407 0.847 0.291
Ac 0.637 0.307 0.131
Tb 0.210 0.453 0.725
Tb 0.834 0.701 0.697
Ho 0.107 0.248 0.488
Ho 0.466 0.965 0.626
Ho 0.578 0.189 0.796
Ho 0.937 0.906 0.933
Ho 0.295 0.623 0.037
Ho 0.749 0.531 0.385
! Calculated formation energy ... 156.8 meV/atom
! Energy above the lowest structure with this stoichiometry ... 0.469 eV/f.u.

---

No. 4
! Sm5Ho2Bi4 (PBE, relaxed); values from VASP
&SYSTEM
  ibrav = 0, nat = 11, ntyp = 3
/
ATOMIC_SPECIES
Sm 150.36 Sm.upf
Ho 164.93 Ho.upf
Bi 208.98 Bi.upf
CELL_PARAMETERS angstrom
4.365 0.000 0.000
0.000 7.744 -1.062
-2.183 -3.651 11.413
ATOMIC_POSITIONS crystal
Sm 0.177 0.901 0.354
Sm 0.823 0.099 0.646
Sm 0.145 0.326 0.290
Sm 0.500 0.000 0.000
Sm 0.855 0.674 0.710
Ho 0.575 0.536 0.149
Ho 0.425 0.464 0.851
Bi 0.719 0.672 0.437
Bi 0.028 0.756 0.057
Bi 0.281 0.328 0.563
Bi 0.972 0.244 0.943
! Calculated formation energy ... -466.7 meV/atom

---

No. 5
! TbPr5Dy2 (PBE, relaxed); values from VASP
&SYSTEM
  ibrav = 0, nat = 16, ntyp = 3
/
ATOMIC_SPECIES
Tb 158.93 Tb.upf
Pr 140.91 Pr.upf
Dy 162.50 Dy.upf
CELL_PARAMETERS angstrom
-4.061 3.159 0.541
-4.328 -5.757 1.134
2.592 0.876 14.335
ATOMIC_POSITIONS crystal
Tb 0.000 0.000 0.500
Tb 0.000 0.500 0.000
Pr 0.000 0.000 0.000
Pr 0.000 0.500 0.500
Pr 0.000 0.502 0.751
Pr 0.000 0.498 0.249
Pr 0.000 0.998 0.251
Pr 0.000 0.002 0.749
Pr 0.500 0.252 0.876
Pr 0.500 0.748 0.124
Pr 0.500 0.248 0.376
Pr 0.500 0.752 0.624
Dy 0.500 0.251 0.624
Dy 0.500 0.749 0.376
Dy 0.500 0.249 0.124
Dy 0.500 0.751 0.876
! Calculated formation energy ... 15.5 meV/atom
! Energy above the lowest structure with this stoichiometry ... 0.000 eV/f.u.

---

No. 6
! FeNi4Ru (PBE, relaxed); values from VASP
&SYSTEM
  ibrav = 0, nat = 6, ntyp = 3
/
ATOMIC_SPECIES
Fe 55.84 Fe.upf
Ni 58.69 Ni.upf
Ru 101.07 Ru.upf
CELL_PARAMETERS angstrom
0.000 3.294 3.294
3.294 0.000 3.294
3.294 3.294 0.000
ATOMIC_POSITIONS crystal
Fe 0.000 0.000 0.000
Ni 0.875 0.375 0.375
Ni 0.375 0.375 0.875
Ni 0.375 0.875 0.375
Ni 0.375 0.375 0.375
Ru 0.750 0.750 0.750
! Calculated formation energy ... 150.6 meV/atom
! Energy above the lowest structure with this stoichiometry ... 0.737 eV/f.u.

---

No. 7
! Ti6Bi2B (PBE, relaxed); values from VASP
&SYSTEM
  ibrav = 0, nat = 18, ntyp = 3
/
ATOMIC_SPECIES
Ti 47.87 Ti.upf
Bi 208.98 Bi.upf
B 10.81 B.upf
CELL_PARAMETERS angstrom
5.608 0.000 0.183
0.000 6.494 0.000
-0.466 0.000 9.046
ATOMIC_POSITIONS crystal
Ti 0.869 0.974 0.263
Ti 0.838 0.688 0.511
Ti 0.840 0.692 0.984
Ti 0.660 0.192 0.516
Ti 0.662 0.188 0.989
Ti 0.631 0.474 0.237
Ti 0.131 0.026 0.737
Ti 0.162 0.312 0.489
Ti 0.160 0.308 0.016
Ti 0.340 0.808 0.484
Ti 0.338 0.812 0.011
Ti 0.369 0.526 0.763
Bi 0.889 0.409 0.752
Bi 0.611 0.909 0.748
Bi 0.389 0.091 0.252
Bi 0.111 0.591 0.248
B 0.500 0.500 0.000
B 0.000 0.000 0.500
! Calculated formation energy ... -98.7 meV/atom

---

No. 8
! CaSm2Ir (PBE, relaxed); values from VASP
&SYSTEM
  ibrav = 0, nat = 8, ntyp = 3
/
ATOMIC_SPECIES
Ca 40.08 Ca.upf
Sm 150.36 Sm.upf
Ir 192.22 Ir.upf
CELL_PARAMETERS angstrom
-1.731 0.244 3.690
5.096 -4.182 0.402
5.476 6.875 2.114
ATOMIC_POSITIONS crystal
Ca 0.927 0.855 0.250
Ca 0.073 0.145 0.750
Sm 0.354 0.707 0.562
Sm 0.646 0.293 0.438
Sm 0.354 0.707 0.938
Sm 0.646 0.293 0.062
Ir 0.755 0.509 0.750
Ir 0.245 0.491 0.250
! Calculated formation energy ... -412.6 meV/atom
! Energy above the lowest structure with this stoichiometry ... 0.044 eV/f.u.

---

No. 9
! Hf2ZrZn (PBE, relaxed); values from VASP
&SYSTEM
  ibrav = 0, nat = 4, ntyp = 3
/
ATOMIC_SPECIES
Zn 65.41 Zn.upf
Hf 178.49 Hf.upf
Zr 91.22 Zr.upf
CELL_PARAMETERS angstrom
-0.144 -2.647 -1.806
2.431 -2.093 0.024
-3.356 -6.280 6.622
ATOMIC_POSITIONS crystal
Zn 0.000 0.000 0.000
Hf 0.255 0.255 0.236
Hf 0.745 0.745 0.764
Zr 0.500 0.500 0.500
! Calculated formation energy ... -1.1 meV/atom

---

No. 10
! LiNb2CuNi (PBE, relaxed); values from VASP
&SYSTEM
  ibrav = 0, nat = 5, ntyp = 4
/
ATOMIC_SPECIES
Ni 58.69 Ni.upf
Nb 92.91 Nb.upf
Cu 63.55 Cu.upf
Li 6.94 Li.upf
CELL_PARAMETERS angstrom
-3.945 1.545 -0.969
-1.468 -1.715 3.240
0.846 3.597 2.288
ATOMIC_POSITIONS crystal
Ni 0.500 0.500 0.500
Nb 0.000 0.000 0.500
Nb 0.500 0.000 0.000
Cu 0.000 0.500 0.000
Li 0.000 0.000 0.000
! Calculated formation energy ... 1019.5 meV/atom

---

No. 11
! Re2Ag2Pt (PBE, relaxed); values from VASP
&SYSTEM
  ibrav = 0, nat = 5, ntyp = 3
/
ATOMIC_SPECIES
Re 186.21 Re.upf
Ag 107.87 Ag.upf
Pt 195.08 Pt.upf
CELL_PARAMETERS angstrom
3.499 0.000 0.000
0.000 3.499 0.000
1.749 1.749 7.394
ATOMIC_POSITIONS crystal
Re 0.750 0.250 0.500
Re 0.250 0.750 0.500
Ag 0.404 0.404 0.192
Ag 0.596 0.596 0.808
Pt 0.000 0.000 0.000
! Calculated formation energy ... 878.6 meV/atom
! Energy above the lowest structure with this stoichiometry ... 0.000 eV/f.u.

---

No. 12
! CaMgAs (PBE, relaxed); values from VASP
&SYSTEM
  ibrav = 0, nat = 12, ntyp = 3
/
ATOMIC_SPECIES
Mg 24.30 Mg.upf
As 74.92 As.upf
Ca 40.08 Ca.upf
CELL_PARAMETERS angstrom
-2.753 -6.243 -1.778
4.468 -0.450 -5.436
4.918 -5.218 1.445
ATOMIC_POSITIONS crystal
Mg 0.118 0.933 0.541
Mg 0.058 0.537 0.033
Mg 0.537 0.058 0.533
Mg 0.933 0.118 0.041
As 0.662 0.376 0.188
As 0.117 0.805 0.228
As 0.376 0.662 0.688
As 0.805 0.117 0.728
Ca 0.411 0.213 0.012
Ca 0.213 0.411 0.512
Ca 0.743 0.539 0.481
Ca 0.539 0.743 0.981
! Calculated formation energy ... -652.9 meV/atom
! Energy above the lowest structure with this stoichiometry ... 0.018 eV/f.u.

---

Number 6 is which compound?
FeNi4Ru